{"formula": "TaGaSi3", "functional": "PBE-GGA", "state": "relaxed", "raw_formation_energy_ev_per_atom": 0.595, "total_energy_ev_per_atom": -5.635, "space_group": "Pm-3m, No. 221", "cell": [[-0.633, 4.717, 1.230], [-4.717, -0.280, -1.354], [-1.229, -1.354, 4.563]], "species": ["Ta", "Si", "Ga", "Si", "Si"], "fractional_positions": [[0.000, 0.000, 0.000], [0.500, 0.000, 0.000], [0.500, 0.500, 0.500], [0.000, 0.500, 0.000], [0.000, 0.000, 0.500]]}


{"formula": "Ta5Ga2Si2", "functional": "PBE-GGA", "state": "relaxed", "raw_formation_energy_ev_per_atom": -0.339, "total_energy_ev_per_atom": -8.801, "space_group": "Cmce, No. 64", "cell": [[-4.761, -1.350, -4.732], [3.354, -5.501, -1.806], [-5.763, -4.183, 2.037]], "species": ["Ta", "Ta", "Ga", "Si", "Ta", "Si", "Ga", "Ta", "Ga", "Ta", "Si", "Ta", "Ta", "Ta", "Ga", "Si", "Ta", "Ta"], "fractional_positions": [[0.040, 0.670, 0.256], [0.796, 0.830, 0.744], [0.712, 0.500, 0.575], [0.125, 0.375, 0.000], [0.960, 0.330, 0.744], [0.375, 0.875, 0.000], [0.212, 0.000, 0.575], [0.540, 0.830, 0.256], [0.788, 0.000, 0.425], [0.204, 0.170, 0.256], [0.875, 0.625, 0.000], [0.500, 0.500, 0.000], [0.296, 0.670, 0.744], [0.460, 0.170, 0.744], [0.288, 0.500, 0.425], [0.625, 0.125, 0.000], [0.704, 0.330, 0.256], [0.000, 0.000, 0.000]]}


{"formula": "TaGaSi3", "functional": "PBE-GGA", "state": "relaxed", "raw_formation_energy_ev_per_atom": 1.373, "total_energy_ev_per_atom": -4.856, "space_group": "Pm-3m, No. 221", "cell": [[4.591, 0.000, 0.000], [0.000, 4.591, 0.000], [0.000, 0.000, 4.591]], "species": ["Si", "Si", "Ga", "Ta", "Si"], "fractional_positions": [[0.000, 0.500, 0.000], [0.500, 0.000, 0.000], [0.000, 0.000, 0.000], [0.500, 0.500, 0.500], [0.000, 0.000, 0.500]]}


{"formula": "Ta2GaSi", "functional": "PBE-GGA", "state": "relaxed", "raw_formation_energy_ev_per_atom": 0.291, "total_energy_ev_per_atom": -7.748, "space_group": "I-42d, No. 122", "cell": [[-2.109, -0.857, 3.151], [1.320, -3.654, -0.110], [6.915, 0.218, 7.087]], "species": ["Ga", "Ta", "Ta", "Ga", "Si", "Ta", "Ta", "Si"], "fractional_positions": [[0.000, 0.000, 0.000], [0.375, 0.378, 0.750], [0.128, 0.625, 0.250], [0.750, 0.250, 0.500], [0.500, 0.500, 0.000], [0.875, 0.872, 0.750], [0.622, 0.125, 0.250], [0.250, 0.750, 0.500]]}


{"formula": "Ta4GaSi", "functional": "PBE-GGA", "state": "relaxed", "raw_formation_energy_ev_per_atom": -0.405, "total_energy_ev_per_atom": -9.715, "space_group": "P4/mcc, No. 124", "cell": [[-0.207, 4.411, 2.612], [2.944, -2.703, 4.800], [5.503, 1.692, -2.422]], "species": ["Si", "Si", "Ta", "Ta", "Ta", "Ta", "Ta", "Ga", "Ta", "Ta", "Ta", "Ga"], "fractional_positions": [[0.250, 0.500, 0.500], [0.750, 0.500, 0.500], [0.000, 0.833, 0.348], [0.000, 0.348, 0.167], [0.500, 0.167, 0.348], [0.500, 0.348, 0.833], [0.500, 0.652, 0.167], [0.250, 0.000, 0.000], [0.000, 0.167, 0.652], [0.000, 0.652, 0.833], [0.500, 0.833, 0.652], [0.750, 0.000, 0.000]]}


{"formula": "TaTiGa2Si", "functional": "PBE-GGA", "state": "relaxed", "raw_formation_energy_ev_per_atom": 1.001, "total_energy_ev_per_atom": -5.244, "space_group": "P4/mmm, No. 123", "cell": [[4.690, 0.000, 0.000], [0.000, 4.582, 0.000], [0.000, 0.000, 4.690]], "species": ["Si", "Ta", "Ga", "Ga", "Ti"], "fractional_positions": [[0.000, 0.500, 0.000], [0.500, 0.500, 0.500], [0.500, 0.000, 0.000], [0.000, 0.000, 0.500], [0.000, 0.000, 0.000]]}


{"formula": "TbGaSi", "functional": "PBE-GGA", "state": "relaxed", "raw_formation_energy_ev_per_atom": -0.642, "total_energy_ev_per_atom": -5.002, "space_group": "P3m1, No. 156", "cell": [[-1.682, -2.313, 2.874], [0.771, -3.366, -2.258], [2.797, 1.345, 2.720]], "species": ["Si", "Tb", "Ga"], "fractional_positions": [[0.203, 0.333, 0.667], [0.668, 0.667, 0.333], [0.129, 0.000, 0.000]]}


{"formula": "TbGa3Si", "functional": "PBE-GGA", "state": "relaxed", "raw_formation_energy_ev_per_atom": 0.075, "total_energy_ev_per_atom": -3.752, "space_group": "Pmma, No. 51", "cell": [[-4.107, -1.328, 0.678], [2.078, -2.876, 6.954], [-1.553, 6.386, 3.106]], "species": ["Ga", "Ga", "Si", "Si", "Ga", "Ga", "Ga", "Ga", "Tb", "Tb"], "fractional_positions": [[0.500, 0.500, 0.000], [0.500, 0.577, 0.350], [0.500, 0.250, 0.221], [0.500, 0.750, 0.779], [0.500, 0.000, 0.000], [0.500, 0.077, 0.650], [0.500, 0.423, 0.650], [0.500, 0.923, 0.350], [0.000, 0.250, 0.925], [0.000, 0.750, 0.075]]}


{"formula": "Tb3Ga3Si", "functional": "PBE-GGA", "state": "relaxed", "raw_formation_energy_ev_per_atom": -0.680, "total_energy_ev_per_atom": -4.736, "space_group": "Imm2, No. 44", "cell": [[-0.273, -3.800, -1.461], [4.230, -0.202, -0.263], [-1.609, -1.281, 9.329]], "species": ["Tb", "Tb", "Ga", "Tb", "Ga", "Si", "Ga"], "fractional_positions": [[0.317, 0.817, 0.634], [0.685, 0.185, 0.370], [0.146, 0.646, 0.292], [0.997, 0.997, 0.994], [0.566, 0.566, 0.132], [0.434, 0.434, 0.868], [0.855, 0.355, 0.709]]}


{"formula": "Tb3Ga2Si", "functional": "PBE-GGA", "state": "relaxed", "raw_formation_energy_ev_per_atom": -0.630, "total_energy_ev_per_atom": -4.858, "space_group": "Pnma, No. 62", "cell": [[4.048, 0.000, 0.000], [0.000, 11.967, 0.000], [0.000, 0.000, 11.850]], "species": ["Ga", "Tb", "Tb", "Tb", "Ga", "Tb", "Ga", "Tb", "Si", "Ga", "Tb", "Tb", "Si", "Si", "Ga", "Tb", "Ga", "Si", "Tb", "Ga", "Tb", "Ga", "Tb", "Tb"], "fractional_positions": [[0.250, 0.809, 0.982], [0.250, 0.447, 0.383], [0.750, 0.210, 0.290], [0.750, 0.290, 0.790], [0.750, 0.191, 0.018], [0.250, 0.710, 0.210], [0.250, 0.691, 0.482], [0.250, 0.790, 0.710], [0.250, 0.370, 0.631], [0.250, 0.491, 0.811], [0.750, 0.947, 0.117], [0.750, 0.553, 0.617], [0.750, 0.630, 0.369], [0.250, 0.130, 0.131], [0.750, 0.509, 0.189], [0.250, 0.053, 0.883], [0.750, 0.309, 0.518], [0.750, 0.870, 0.869], [0.250, 0.377, 0.061], [0.250, 0.009, 0.311], [0.750, 0.877, 0.439], [0.750, 0.991, 0.689], [0.750, 0.623, 0.939], [0.250, 0.123, 0.561]]}


{"formula": "TbGaSi2", "functional": "PBE-GGA", "state": "relaxed", "raw_formation_energy_ev_per_atom": -0.228, "total_energy_ev_per_atom": -4.853, "space_group": "R-3m, No. 166", "cell": [[4.331, 0.000, 0.000], [2.165, 3.751, 0.000], [2.165, 1.250, 4.811]], "species": ["Tb", "Si", "Ga", "Si"], "fractional_positions": [[0.500, 0.500, 0.500], [0.710, 0.710, 0.870], [0.000, 0.000, 0.000], [0.290, 0.290, 0.130]]}


{"formula": "TbGaSi", "functional": "PBE-GGA", "state": "relaxed", "raw_formation_energy_ev_per_atom": -0.209, "total_energy_ev_per_atom": -4.569, "space_group": "Fddd, No. 70", "cell": [[-5.041, -4.332, 1.623], [2.225, -0.481, -6.452], [5.596, -1.808, 4.173]], "species": ["Tb", "Si", "Si", "Tb", "Tb", "Si", "Ga", "Ga", "Ga", "Tb", "Si", "Ga"], "fractional_positions": [[0.625, 0.875, 0.250], [0.160, 0.840, 0.000], [0.410, 0.590, 0.500], [0.125, 0.375, 0.750], [0.625, 0.375, 0.750], [0.840, 0.160, 0.000], [0.106, 0.606, 0.212], [0.394, 0.894, 0.788], [0.856, 0.856, 0.712], [0.625, 0.375, 0.250], [0.090, 0.910, 0.500], [0.144, 0.144, 0.288]]}


{"formula": "Tb3Ga3Si2", "functional": "PBE-GGA", "state": "relaxed", "raw_formation_energy_ev_per_atom": -0.660, "total_energy_ev_per_atom": -4.887, "space_group": "Cmcm, No. 63", "cell": [[-3.584, 0.029, 1.876], [-0.314, -3.119, -4.914], [3.957, -12.612, 7.751]], "species": ["Si", "Tb", "Tb", "Si", "Tb", "Ga", "Tb", "Tb", "Ga", "Ga", "Ga", "Ga", "Si", "Ga", "Tb", "Si"], "fractional_positions": [[0.846, 0.692, 0.879], [0.572, 0.145, 0.250], [0.142, 0.284, 0.592], [0.154, 0.308, 0.379], [0.428, 0.855, 0.750], [0.574, 0.149, 0.057], [0.858, 0.716, 0.408], [0.858, 0.716, 0.092], [0.305, 0.611, 0.250], [0.426, 0.851, 0.557], [0.426, 0.851, 0.943], [0.695, 0.389, 0.750], [0.154, 0.308, 0.121], [0.574, 0.149, 0.443], [0.142, 0.284, 0.908], [0.846, 0.692, 0.621]]}


{"formula": "Tb7Ga2Si2", "functional": "PBE-GGA", "state": "relaxed", "raw_formation_energy_ev_per_atom": -0.209, "total_energy_ev_per_atom": -4.692, "space_group": "Cmmm, No. 65", "cell": [[-4.886, -0.454, -4.407], [-1.707, -6.578, 2.571], [-2.171, 2.748, 5.589]], "species": ["Tb", "Tb", "Ga", "Si", "Ga", "Tb", "Tb", "Si", "Tb", "Tb", "Tb"], "fractional_positions": [[0.500, 0.738, 0.500], [0.000, 0.000, 0.000], [0.710, 0.000, 0.290], [0.164, 0.500, 0.164], [0.290, 0.000, 0.710], [0.500, 0.710, 0.000], [0.000, 0.290, 0.500], [0.836, 0.500, 0.836], [0.500, 0.290, 0.000], [0.000, 0.710, 0.500], [0.500, 0.262, 0.500]]}


{"formula": "Tb2GaSi2", "functional": "PBE-GGA", "state": "relaxed", "raw_formation_energy_ev_per_atom": -0.688, "total_energy_ev_per_atom": -5.315, "space_group": "C2/m, No. 12", "cell": [[4.173, 0.000, 0.000], [2.086, 5.344, -0.092], [2.086, 0.673, 9.332]], "species": ["Si", "Ga", "Tb", "Ga", "Si", "Tb", "Si", "Tb", "Tb", "Si"], "fractional_positions": [[0.965, 0.659, 0.411], [0.437, 0.818, 0.308], [0.705, 0.238, 0.351], [0.563, 0.182, 0.692], [0.035, 0.341, 0.589], [0.295, 0.762, 0.649], [0.624, 0.862, 0.891], [0.897, 0.299, 0.907], [0.103, 0.701, 0.093], [0.376, 0.138, 0.109]]}


{"formula": "Tb3Ga4Si4", "functional": "PBE-GGA", "state": "relaxed", "raw_formation_energy_ev_per_atom": -0.462, "total_energy_ev_per_atom": -4.798, "space_group": "C2/m, No. 12", "cell": [[4.136, 0.003, -0.260], [-0.002, 4.091, 0.004], [1.167, 2.040, 12.863]], "species": ["Tb", "Tb", "Tb", "Si", "Si", "Si", "Si", "Ga", "Ga", "Ga", "Ga"], "fractional_positions": [[0.000, 0.000, 0.000], [0.020, 0.637, 0.726], [0.980, 0.363, 0.274], [0.594, 0.183, 0.633], [0.406, 0.817, 0.367], [0.457, 0.455, 0.090], [0.543, 0.545, 0.910], [0.467, 0.093, 0.815], [0.533, 0.907, 0.185], [0.197, 0.252, 0.497], [0.803, 0.748, 0.503]]}


{"formula": "Tb2GaSi2", "functional": "PBE-GGA", "state": "relaxed", "raw_formation_energy_ev_per_atom": -0.695, "total_energy_ev_per_atom": -5.322, "space_group": "Immm, No. 71", "cell": [[3.741, 0.000, 1.677], [1.106, 4.879, 2.545], [-0.266, 0.151, 5.605]], "species": ["Si", "Ga", "Tb", "Tb", "Si"], "fractional_positions": [[0.500, 0.705, 0.295], [0.000, 0.000, 0.000], [0.787, 0.713, 0.713], [0.213, 0.287, 0.287], [0.500, 0.295, 0.705]]}


{"formula": "TbGaSi", "functional": "PBE-GGA", "state": "relaxed", "raw_formation_energy_ev_per_atom": -0.640, "total_energy_ev_per_atom": -5.000, "space_group": "Imma, No. 74", "cell": [[-0.018, 4.174, 0.273], [-1.559, 1.745, 5.262], [4.877, 1.963, 2.351]], "species": ["Si", "Si", "Tb", "Ga", "Tb", "Ga"], "fractional_positions": [[0.250, 0.421, 0.579], [0.750, 0.579, 0.421], [0.500, 0.500, 0.000], [0.250, 0.084, 0.916], [0.000, 0.000, 0.500], [0.750, 0.916, 0.084]]}


{"formula": "Tb4GaSi2", "functional": "PBE-GGA", "state": "relaxed", "raw_formation_energy_ev_per_atom": -0.445, "total_energy_ev_per_atom": -5.073, "space_group": "C2/m, No. 12", "cell": [[4.147, 0.000, 0.000], [0.000, 7.442, 0.076], [-2.073, -3.575, 6.255]], "species": ["Tb", "Si", "Si", "Tb", "Ga", "Tb", "Tb"], "fractional_positions": [[0.863, 0.209, 0.726], [0.233, 0.234, 0.466], [0.767, 0.766, 0.534], [0.137, 0.791, 0.274], [0.000, 0.000, 0.000], [0.376, 0.670, 0.752], [0.624, 0.330, 0.248]]}


{"formula": "Tb3Ga2Si2", "functional": "PBE-GGA", "state": "relaxed", "raw_formation_energy_ev_per_atom": -0.714, "total_energy_ev_per_atom": -5.112, "space_group": "Immm, No. 71", "cell": [[-3.393, -2.069, -0.600], [2.134, -2.809, -2.379], [2.327, -2.465, 8.803]], "species": ["Tb", "Tb", "Si", "Si", "Ga", "Ga", "Tb"], "fractional_positions": [[0.000, 0.000, 0.000], [0.317, 0.817, 0.635], [0.435, 0.435, 0.870], [0.565, 0.565, 0.130], [0.147, 0.647, 0.293], [0.853, 0.353, 0.707], [0.683, 0.183, 0.365]]}


{"formula": "TbGaSi2", "functional": "PBE-GGA", "state": "relaxed", "raw_formation_energy_ev_per_atom": -0.311, "total_energy_ev_per_atom": -4.937, "space_group": "P4/mmm, No. 123", "cell": [[4.146, 0.000, 0.000], [0.000, 4.230, 0.000], [0.000, 0.000, 4.230]], "species": ["Si", "Si", "Ga", "Tb"], "fractional_positions": [[0.000, 0.000, 0.500], [0.000, 0.500, 0.000], [0.500, 0.500, 0.500], [0.500, 0.000, 0.000]]}


{"formula": "TbGaSi2", "functional": "PBE-GGA", "state": "relaxed", "raw_formation_energy_ev_per_atom": -0.257, "total_energy_ev_per_atom": -4.883, "space_group": "Cmmm, No. 65", "cell": [[-2.332, 1.831, -0.680], [-3.379, -3.616, 1.849], [1.914, 3.661, 3.293]], "species": ["Tb", "Ga", "Si", "Si"], "fractional_positions": [[0.000, 0.054, 0.946], [0.500, 0.554, 0.446], [0.500, 0.054, 0.446], [0.500, 0.554, 0.946]]}


{"formula": "Tb5Ga2Si", "functional": "PBE-GGA", "state": "relaxed", "raw_formation_energy_ev_per_atom": -0.522, "total_energy_ev_per_atom": -4.850, "space_group": "I4/mcm, No. 140", "cell": [[-1.144, -5.402, 5.370], [6.316, -3.708, -2.385], [1.191, 8.147, 2.925]], "species": ["Tb", "Tb", "Tb", "Ga", "Tb", "Tb", "Tb", "Ga", "Ga", "Si", "Tb", "Tb", "Tb", "Ga", "Tb", "Si"], "fractional_positions": [[0.520, 0.681, 0.701], [0.000, 0.000, 0.000], [0.681, 0.181, 0.701], [0.123, 0.377, 0.000], [0.020, 0.520, 0.701], [0.181, 0.020, 0.701], [0.500, 0.500, 0.000], [0.623, 0.123, 0.000], [0.877, 0.623, 0.000], [0.250, 0.250, 0.500], [0.319, 0.819, 0.299], [0.480, 0.319, 0.299], [0.819, 0.980, 0.299], [0.377, 0.877, 0.000], [0.980, 0.480, 0.299], [0.750, 0.750, 0.500]]}